Record 1
Computed, not measured: a geometry-optimized Pr2GePdO6 structure at the PBEsol level of DFT.

The structure in POSCAR format:
```
Pr2GePdO6
1.0
5.097 0.000 0.041
0.000 5.272 0.000
-2.040 -2.636 4.676
O Ge Pr Pd
6 1 2 1
Cartesian
3.878 3.957 0.744
-0.821 1.321 3.973
0.674 2.636 1.744
2.383 0.000 2.973
3.878 1.315 0.744
-0.821 -1.321 3.973
0.000 2.636 0.000
2.897 2.636 2.500
0.160 0.000 2.217
2.548 0.000 0.020
```

Output
The uncorrected formation energy comes out at -2.31 eV/atom.

---

Record 2
Computed, not measured: a geometry-optimized LaCo2Au structure at the PBEsol level of DFT.

The structure in POSCAR format:
```
LaCo2Au
1.0
3.391 0.000 0.000
0.000 3.290 0.000
0.000 0.000 6.223
Au La Co
1 1 2
Cartesian
1.696 1.645 0.000
1.696 1.645 3.111
0.000 0.000 5.057
0.000 0.000 1.166
```

Output
The value obtained for the formation energy is 0.236 eV per atom.

---

Record 3
Computed, not measured: a geometry-optimized ZnAg2Au structure at the PBEsol level of DFT.

The structure in POSCAR format:
```
ZnAg2Au
1.0
-3.698 0.684 -1.493
-1.255 -3.551 1.481
1.457 3.182 3.334
Au Ag Zn
1 2 1
Cartesian
-2.476 -1.433 -0.006
-2.359 1.216 0.917
0.000 0.000 0.000
-1.137 -0.901 2.404
```

Output
The value obtained for the formation energy is -0.100 eV per atom.

---

Record 4
Computed, not measured: a geometry-optimized LaHg2P2 structure at the PBEsol level of DFT.

The structure in POSCAR format:
```
LaHg2P2
1.0
-2.095 3.634 2.446
-4.224 -0.957 -2.196
2.039 -4.306 3.324
Hg P La
2 2 1
Cartesian
-0.802 -2.124 2.469
-3.478 0.495 1.105
-1.608 0.333 2.948
-2.672 -1.963 0.627
0.000 0.000 0.000
```

Output
The value obtained for the formation energy is -0.298 eV per atom.

---

Record 5
Computed, not measured: a geometry-optimized ZnIrOs2 structure at the PBEsol level of DFT.

The structure in POSCAR format:
```
ZnIrOs2
1.0
3.795 0.000 0.000
0.000 3.795 0.000
-1.897 -1.897 3.840
Os Ir Zn
2 1 1
Cartesian
1.897 0.000 1.920
0.000 0.000 0.000
0.000 1.897 1.920
1.897 1.897 0.000
```

Output
The value obtained for the formation energy is 0.247 eV per atom.

---

Record 6
Computed, not measured: a geometry-optimized Na3LaZn structure at the PBEsol level of DFT.

The structure in POSCAR format:
```
Na3LaZn
1.0
-4.590 0.410 -2.878
2.696 -1.414 -4.501
-1.089 -5.231 0.991
Zn Na La
1 3 1
Cartesian
0.000 0.000 0.000
1.348 -0.707 -2.250
-2.295 0.205 -1.439
-0.544 -2.615 0.496
-1.492 -3.117 -3.194
```

Output
The value obtained for the formation energy is 0.462 eV per atom.

---

Record 7
Computed, not measured: a geometry-optimized K2MnHg structure at the PBEsol level of DFT.

The structure in POSCAR format:
```
K2MnHg
1.0
3.605 0.000 0.000
1.802 3.122 0.000
1.802 1.041 11.540
Mn K Hg
1 2 1
Cartesian
3.605 2.081 5.770
5.407 3.122 8.713
1.802 1.041 2.828
0.000 0.000 0.000
```

Output
The value obtained for the formation energy is 0.700 eV per atom.

---

Record 8
Computed, not measured: a geometry-optimized Ba3MoN3 structure at the PBEsol level of DFT.

The structure in POSCAR format:
```
Ba3MoN3
1.0
5.552 0.000 0.000
0.000 8.343 0.000
0.000 -4.171 7.225
Ba N Mo
6 6 2
Cartesian
4.164 1.563 6.570
4.164 -2.299 5.294
4.164 0.737 2.587
1.388 3.435 4.638
1.388 2.609 0.656
1.388 6.471 1.932
4.164 3.376 4.065
1.388 -1.832 4.956
1.388 1.037 6.334
4.164 6.003 2.269
4.164 3.135 0.892
1.388 0.795 3.161
1.388 0.000 4.817
4.164 4.172 2.408
```

Output
The uncorrected formation energy comes out at -0.80 eV/atom.

---

Record 9
Computed, not measured: a geometry-optimized KZrPb2 structure at the PBEsol level of DFT.

The structure in POSCAR format:
```
KZrPb2
1.0
3.255 0.000 0.000
0.000 4.822 0.000
-1.627 -2.411 8.433
Zr K Pb
1 1 2
Cartesian
0.000 0.000 7.981
0.000 2.411 3.231
1.627 0.000 5.440
0.000 0.000 0.213
```

Output
The value obtained for the formation energy is 0.058 eV per atom.

---

Record 10
Computed, not measured: a geometry-optimized BeCuPt4 structure at the PBEsol level of DFT.

The structure in POSCAR format:
```
BeCuPt4
1.0
5.122 0.000 0.000
2.561 4.436 0.000
2.561 1.479 4.182
Pt Be Cu
4 1 1
Cartesian
5.122 4.436 1.568
6.403 2.218 1.568
3.842 2.218 1.568
5.122 2.957 3.660
7.684 4.436 3.137
0.000 0.000 0.000
```

Output
The value obtained for the formation energy is 0.331 eV per atom.

---

Record 11
Computed, not measured: a geometry-optimized TcAg2Ir structure at the PBEsol level of DFT.

The structure in POSCAR format:
```
TcAg2Ir
1.0
2.726 0.000 0.000
-1.363 4.481 0.000
0.000 -0.734 4.975
Ag Ir Tc
2 1 1
Cartesian
1.363 2.089 1.158
1.363 4.462 0.087
1.363 -0.366 2.679
0.000 1.674 3.539
```

Output
The value obtained for the formation energy is 0.353 eV per atom.

---

Record 12
Computed, not measured: a geometry-optimized CaCuTc2 structure at the PBEsol level of DFT.

The structure in POSCAR format:
```
CaCuTc2
1.0
-2.356 0.880 1.028
-0.657 -0.572 2.573
3.267 8.170 4.086
Tc Ca Cu
2 1 1
Cartesian
-0.052 1.902 1.844
0.305 6.575 5.843
0.127 4.239 3.843
0.000 0.000 0.000
```

Output
The value obtained for the formation energy is 0.740 eV per atom.

---

Record 13
Computed, not measured: a geometry-optimized AlFeTcNi2 structure at the PBEsol level of DFT.

The structure in POSCAR format:
```
AlFeTcNi2
1.0
-2.284 2.816 1.858
-1.716 -2.901 2.288
3.001 0.517 2.906
Ni Fe Al Tc
2 1 1 1
Cartesian
-0.858 -1.451 1.144
-1.142 1.408 0.929
1.501 0.258 1.453
0.000 0.000 0.000
-0.499 0.216 3.526
```

Output
The value obtained for the formation energy is 1.190 eV per atom.

---

Record 14
Computed, not measured: a geometry-optimized Hf2TiS structure at the PBEsol level of DFT.

The structure in POSCAR format:
```
Hf2TiS
1.0
4.816 0.000 0.000
2.408 5.720 0.000
2.408 0.000 5.720
Hf Ti S
4 2 2
Cartesian
7.826 5.145 3.435
3.010 0.575 2.285
4.214 3.435 0.575
4.214 2.285 5.145
6.020 2.860 2.860
0.000 0.000 0.000
2.408 0.000 0.000
3.612 2.860 2.860
```

Output
The uncorrected formation energy comes out at -0.32 eV/atom.

---

Record 15
Computed, not measured: a geometry-optimized SbPS2 structure at the PBEsol level of DFT.

The structure in POSCAR format:
```
SbPS2
1.0
-2.278 2.168 1.297
-3.015 -1.146 1.080
1.365 -0.845 8.270
Sb P S
1 1 2
Cartesian
0.000 0.000 0.000
-1.964 0.089 5.324
-4.265 0.633 4.835
0.336 -0.455 5.812
```

Output
The uncorrected formation energy comes out at 0.04 eV/atom.

---

Record 16
Computed, not measured: a geometry-optimized NbTe2Ir structure at the PBEsol level of DFT.

The structure in POSCAR format:
```
NbTe2Ir
1.0
-2.935 1.768 -0.842
-2.666 -1.667 -1.600
-5.282 -1.943 6.937
Nb Ir Te
1 1 2
Cartesian
0.000 0.000 0.000
-5.442 -0.921 2.248
-4.222 -1.329 4.531
-6.662 -0.513 -0.035
```

Output
The uncorrected formation energy comes out at 0.54 eV/atom.

---

Record 17
Computed, not measured: a geometry-optimized InSiNi2 structure at the PBEsol level of DFT.

The structure in POSCAR format:
```
InSiNi2
1.0
-2.584 -0.634 -1.202
-0.144 -0.845 -2.791
-0.116 -7.891 0.868
Si In Ni
1 1 2
Cartesian
-1.382 -5.053 -1.453
-0.725 -2.212 -0.820
-2.139 -6.974 -2.360
-0.136 -7.708 0.813
```

Output
The uncorrected formation energy comes out at 0.14 eV/atom.

---

Record 18
Computed, not measured: a geometry-optimized KBa7 structure at the PBEsol level of DFT.

The structure in POSCAR format:
```
KBa7
1.0
8.819 0.000 0.000
4.409 7.637 0.000
4.409 2.546 7.200
Ba K
7 1
Cartesian
2.205 1.273 3.600
6.614 1.273 3.600
4.409 5.091 3.600
6.614 3.819 0.000
2.205 3.819 0.000
4.409 0.000 0.000
8.819 5.091 3.600
0.000 0.000 0.000
```

Output
The value obtained for the formation energy is 0.064 eV per atom.

---

Record 19
Computed, not measured: a geometry-optimized TaIr2Cl structure at the PBEsol level of DFT.

The structure in POSCAR format:
```
TaIr2Cl
1.0
2.823 0.000 0.000
0.000 4.721 0.000
0.000 0.000 4.721
Ir Ta Cl
2 1 1
Cartesian
0.000 2.360 0.000
0.000 0.000 2.360
1.411 2.360 2.360
1.411 0.000 0.000
```

Output
The uncorrected formation energy comes out at 0.68 eV/atom.

---

Record 20
Computed, not measured: a geometry-optimized LiN2OF structure at the PBEsol level of DFT.

The structure in POSCAR format:
```
LiN2OF
1.0
-0.536 1.304 3.372
0.576 -3.334 1.381
4.418 0.909 0.351
Li N O F
1 2 1 1
Cartesian
2.229 -0.560 2.552
-0.268 0.652 1.686
0.288 -1.667 0.691
2.209 0.455 0.175
0.000 0.000 0.000
```

Output
The uncorrected formation energy comes out at 1.83 eV/atom.

---

Number 1: E_tot -75.83 eV/f.u.. Number 2: E_tot -23.80 eV/f.u.. Number 3: E_tot -12.53 eV/f.u.. Number 4: E_tot -19.55 eV/f.u.. Number 5: E_tot -34.85 eV/f.u.. Number 6: E_tot -8.82 eV/f.u.. Number 7: E_tot -9.80 eV/f.u.. Number 8: E_tot -49.40 eV/f.u.. Number 9: E_tot -17.99 eV/f.u.. Number 10: E_tot -34.20 eV/f.u.. Number 11: E_tot -26.30 eV/f.u.. Number 12: E_tot -26.04 eV/f.u.. Number 13: E_tot -30.68 eV/f.u.. Number 14: E_tot -35.00 eV/f.u.. Number 15: E_tot -18.96 eV/f.u.. Number 16: E_tot -25.55 eV/f.u.. Number 17: E_tot -20.49 eV/f.u.. Number 18: E_tot -15.66 eV/f.u.. Number 19: E_tot -31.50 eV/f.u.. Number 20: E_tot -17.07 eV/f.u..